ErScCoAg | the Alexandria database | PBE | optimized geometry; total moment = 0.42 μB/cell; E_form = -0.294 eV/atom
1.0
-2.896 -1.229 -0.735
-0.291 -1.118 3.017
-3.194 6.314 2.032
Er Sc Co Ag
1 1 1 1
direct
0.500 0.500 0.786
0.500 0.500 0.355
0.000 0.000 0.554
0.000 0.000 0.090